A relaxed structure of Na2SiSnPd6, computed with GGA-PBE.

a = 6.5278 Å, b = 6.7329 Å, c = 6.7358 Å
α = 57.93°, β = 61.03°, γ = 90.00°
With the nearest neighbours (Å) after each atom.
Fractional positions:
Na 0.6987 0.3019 0.6033  9 Pd 3.15-3.49, 1 Si 3.32
Na 0.3013 0.6981 0.3967  9 Pd 3.15-3.49, 1 Si 3.32
Si 0.5000 0.5000 0.0000  6 Pd 2.41
Sn 0.0000 0.0000 0.0000  6 Pd 2.64-2.65
Pd 0.1770 0.1445 0.4802  1 Si 2.41, 1 Sn 2.65, 2 Pd 2.70
Pd 0.8546 0.6568 0.9686  1 Si 2.41, 1 Sn 2.65, 1 Pd 2.70
Pd 0.3433 0.8240 0.8023  1 Si 2.41, 1 Sn 2.64, 2 Pd 2.70
Pd 0.6567 0.1760 0.1977  1 Si 2.41, 1 Sn 2.64, 2 Pd 2.70
Pd 0.1454 0.3432 0.0314  1 Si 2.41, 1 Sn 2.65, 1 Pd 2.70
Pd 0.8230 0.8555 0.5198  1 Si 2.41, 1 Sn 2.65, 2 Pd 2.70

Computed properties:
Space group: No. 2
ΔE_f (raw) (eV per atom): -0.333
Uncorrected energy (eV/atom): -4.655

=====

A relaxed structure of NaSr2Si3Pd12, computed with GGA-PBE.

a = 6.8838 Å, b = 6.8838 Å, c = 6.8838 Å
α = 84.07°, β = 84.07°, γ = 84.07°
With the nearest neighbours (Å) after each atom.
Fractional positions:
Na 0.0000 0.0000 0.0000  6 Pd 2.66
Sr 0.6240 0.6240 0.6240  3 Pd 2.70
Sr 0.3760 0.3760 0.3760  3 Pd 2.70
Si 0.5000 0.0000 0.0000  6 Pd 2.32-2.60
Si 0.0000 0.5000 0.0000  6 Pd 2.32-2.60
Si 0.0000 0.0000 0.5000  6 Pd 2.32-2.60
Pd 0.3630 0.3630 0.9275  2 Si 2.60, 1 Pd 2.74
Pd 0.8229 0.8229 0.3224  1 Si 2.32
Pd 0.3224 0.8229 0.8229  1 Si 2.32
Pd 0.9275 0.3630 0.3630  2 Si 2.60, 1 Pd 2.74
Pd 0.8229 0.3224 0.8229  1 Si 2.32
Pd 0.3630 0.9275 0.3630  2 Si 2.60, 1 Pd 2.74
Pd 0.6370 0.6370 0.0725  2 Si 2.60, 1 Pd 2.74
Pd 0.1771 0.1771 0.6776  1 Si 2.32
Pd 0.6776 0.1771 0.1771  1 Si 2.32
Pd 0.0725 0.6370 0.6370  2 Si 2.60, 1 Pd 2.74
Pd 0.1771 0.6776 0.1771  1 Si 2.32
Pd 0.6370 0.0725 0.6370  2 Si 2.60, 1 Pd 2.74

Computed properties:
Space group: No. 166
ΔE_f (raw) (eV per atom): -0.340
Uncorrected energy (eV/atom): -4.966

=====

A relaxed structure of NaSr2SiPd, computed with GGA-PBE.

a = 6.0089 Å, b = 6.0089 Å, c = 4.6520 Å
α = 90.00°, β = 90.00°, γ = 90.00°
With the nearest neighbours (Å) after each atom.
Fractional positions:
Sr 0.0000 0.5000 0.0000  2 Pd 3.00
Sr 0.5000 0.0000 0.0000  2 Pd 3.00
Si 0.0000 0.0000 0.5000  2 Pd 2.33
Pd 0.0000 0.0000 0.0000  2 Si 2.33
Na 0.5000 0.5000 0.5000  8 Sr 3.80, 4 Si 4.25

Computed properties:
Space group: No. 123
ΔE_f (raw) (eV per atom): -0.281
Uncorrected energy (eV/atom): -3.341

=====

A relaxed structure of NaSiTcPd2, computed with GGA-PBE.

a = 4.7597 Å, b = 5.1347 Å, c = 4.7597 Å
α = 90.00°, β = 90.00°, γ = 90.00°
With the nearest neighbours (Å) after each atom.
Fractional positions:
Na 0.0000 0.5000 0.0000  2 Tc 2.57
Si 0.5000 0.5000 0.5000  4 Na 3.37, 8 Pd 3.50
Tc 0.0000 0.0000 0.0000  4 Pd 2.38, 2 Na 2.57
Pd 0.0000 0.0000 0.5000  2 Tc 2.38
Pd 0.5000 0.0000 0.0000  2 Tc 2.38

Computed properties:
Space group: No. 123
ΔE_f (raw) (eV per atom): 1.397
Uncorrected energy (eV/atom): -4.102

=====

Look up the ΔE_f (raw) of the first one.
-0.333 eV per atom